Entry 1:
The following is a DFT calculation (GGA-PBE) of an optimized crystal structure of Li2TaRe.

Geometry as extended XYZ:
```
4
Lattice="2.666 0.000 0.000 0.000 2.666 0.000 0.000 0.000 9.361" Properties=species:S:1:pos:R:3 pbc="T T T"
Ta 1.333 1.333 6.923
Re 0.000 0.000 4.623
Li 0.000 0.000 0.009
Li 1.333 1.333 2.487
```

symmetry = P4mm
energy relative to the elements = 0.3576 eV per atom
DOS(E_F) = 4.050 states/eV/f.u.
spin magnetization = 0.00 μB/cell
theoretical density = 9.51 g/cm3
distance to the lowest polymorph of the same formula = 193 meV/atom
crystal system = tetragonal

---

Entry 2:
The following is a DFT calculation (GGA-PBE) of an optimized crystal structure of Li2TaRe.

Geometry as extended XYZ:
```
4
Lattice="-1.379 -0.484 2.123 2.087 -1.010 1.126 2.294 8.575 3.445" Properties=species:S:1:pos:R:3 pbc="T T T"
Li 0.040 0.149 0.060
Li 1.107 4.138 1.663
Ta 2.074 5.684 4.208
Re 0.927 1.397 2.485
```

symmetry = P4/mmm
energy relative to the elements = 0.4811 eV per atom
DOS(E_F) = 1.591 states/eV/f.u.
spin magnetization = 0.00 μB/cell
theoretical density = 10.00 g/cm3
distance to the lowest polymorph of the same formula = 317 meV/atom
crystal system = tetragonal

---

Entry 3:
The following is a DFT calculation (GGA-PBE) of an optimized crystal structure of LiTa2TiRe.

Geometry as extended XYZ:
```
5
Lattice="4.891 0.000 0.000 0.000 4.815 0.000 0.000 0.000 4.891" Properties=species:S:1:pos:R:3 pbc="T T T"
Li 2.445 2.408 2.445
Ta 2.445 0.000 0.000
Ta 0.000 0.000 2.445
Ti 0.000 2.408 0.000
Re 0.000 0.000 0.000
```

symmetry = P4/mmm
energy relative to the elements = 1.0306 eV per atom
DOS(E_F) = 5.992 states/eV/f.u.
spin magnetization = 0.50 μB/cell
theoretical density = 8.69 g/cm3
crystal system = tetragonal

---

Entry 4:
The following is a DFT calculation (GGA-PBE) of an optimized crystal structure of LiTaTiRe.

Geometry as extended XYZ:
```
4
Lattice="4.454 0.000 0.000 2.227 3.857 0.000 2.227 1.286 3.636" Properties=species:S:1:pos:R:3 pbc="T T T"
Re 0.000 0.000 0.000
Ta 6.680 3.857 2.727
Li 4.454 2.571 1.818
Ti 2.227 1.286 0.909
```

symmetry = F-43m
energy relative to the elements = -0.0922 eV per atom
DOS(E_F) = 2.720 states/eV/f.u.
spin magnetization = 0.00 μB/cell
theoretical density = 11.22 g/cm3
crystal system = cubic

---

Entry 5:
The following is a DFT calculation (GGA-PBE) of an optimized crystal structure of LiTb2Re.

Geometry as extended XYZ:
```
4
Lattice="-1.843 0.232 -2.934 -2.896 -0.760 1.759 -1.211 7.800 1.377" Properties=species:S:1:pos:R:3 pbc="T T T"
Tb -0.248 1.599 0.282
Tb -0.963 6.201 1.094
Li -2.975 3.636 0.101
Re -2.369 -0.264 -0.588
```

symmetry = P4/mmm
energy relative to the elements = 0.0893 eV per atom
DOS(E_F) = 3.118 states/eV/f.u.
spin magnetization = 0.00 μB/cell
theoretical density = 8.78 g/cm3
crystal system = tetragonal

---

Entry 6:
The following is a DFT calculation (GGA-PBE) of an optimized crystal structure of LiTbThRe.

Geometry as extended XYZ:
```
4
Lattice="-4.432 0.231 -2.340 -0.835 -2.806 -4.075 -3.167 -3.885 0.235" Properties=species:S:1:pos:R:3 pbc="T T T"
Tb -6.325 -4.845 -4.636
Re -4.217 -3.230 -3.090
Th -2.108 -1.615 -1.545
Li 0.000 0.000 0.000
```

symmetry = F-43m
energy relative to the elements = 0.0124 eV per atom
DOS(E_F) = 2.900 states/eV/f.u.
spin magnetization = 0.00 μB/cell
theoretical density = 10.86 g/cm3
crystal system = cubic